# InAs4Cl (GGA-PBEsol, relaxed)
data_InAs4Cl
_cell_length_a 5.943
_cell_length_b 5.943
_cell_length_c 5.943
_cell_angle_alpha 60.00
_cell_angle_beta 60.00
_cell_angle_gamma 60.00
_symmetry_space_group_name_H-M 'P 1'
_symmetry_Int_Tables_number 1
_symmetry_space_group_name_Hall 'P 1'
loop_
_atom_site_label
_atom_site_fract_x
_atom_site_fract_y
_atom_site_fract_z
As1 0.397 0.810 0.397
As2 0.397 0.397 0.810
In1 0.000 0.000 0.000
As3 0.810 0.397 0.397
Cl1 0.750 0.750 0.750
As4 0.397 0.397 0.397
# Raw formation energy in eV per atom: 0.011
# Magnetization in μB/cell: 0.00


# TcSnAu3 (GGA-PBEsol, relaxed)
data_TcSnAu3
_cell_length_a 4.929
_cell_length_b 4.929
_cell_length_c 4.929
_cell_angle_alpha 90.00
_cell_angle_beta 90.00
_cell_angle_gamma 90.00
_symmetry_space_group_name_H-M 'P 1'
_symmetry_Int_Tables_number 1
_symmetry_space_group_name_Hall 'P 1'
loop_
_atom_site_label
_atom_site_fract_x
_atom_site_fract_y
_atom_site_fract_z
Au1 0.000 0.000 0.500
Au2 0.500 0.000 0.000
Au3 0.000 0.500 0.000
Tc1 0.000 0.000 0.000
Sn1 0.500 0.500 0.500
# Calculated formation energy in kcal/mol of atoms: 24.48
# Magnetization in μB/cell: 1.18


Question: magnetization of number 2 (TcSnAu3)?
Answer: 1.18 μB/cell